Density functional theory data (PBE) for crystalline Pr3Dy2Tl2 at its relaxed geometry.

Structure (CIF):
```
data_Pr3Dy2Tl2
_chemical_formula_sum 'Pr6 Dy4 Tl4'
_space_group_name_H-M_alt 'C m m m'
_space_group_IT_number 65
_space_group_name_Hall '-C 2 2'
_cell_length_a 5.023
_cell_length_b 24.323
_cell_length_c 3.583
_cell_angle_alpha 90.00
_cell_angle_beta 90.00
_cell_angle_gamma 90.00
loop_
_atom_site_label
_atom_site_type_symbol
_atom_site_fract_x
_atom_site_fract_y
_atom_site_fract_z
Pr1 Pr 0.000 0.000 0.000
Pr2 Pr 0.000 0.144 0.000
Dy1 Dy 0.000 0.287 0.500
Tl1 Tl 0.000 0.427 0.500
```

Theoretical density in g/cm3: 8.77
E_tot in eV per cell: -58.065
Excess energy over the best structure of this formula in the dataset in eV/f.u.: 0.581